La2SmCuO5 | Alexandria | GGA-PBE | relaxed; formation energy (no corrections) = -2.5376 eV per atom; crystal system = tetragonal; VASP energy = -132.600 eV per cell; symmetry = P4/mbm (127)
1.0
5.869 0.000 0.000
0.000 6.653 0.000
0.000 0.000 6.653
La Sm Cu O
4 2 2 10
direct
0.500 0.663 0.163
0.500 0.163 0.337
0.500 0.837 0.663
0.500 0.337 0.837
0.000 0.500 0.500
0.000 0.000 0.000
0.000 0.000 0.500
0.000 0.500 0.000
0.500 0.500 0.500
0.500 0.000 0.000
0.227 0.165 0.665
0.227 0.835 0.335
0.227 0.335 0.165
0.227 0.665 0.835
0.773 0.165 0.665
0.773 0.665 0.835
0.773 0.835 0.335
0.773 0.335 0.165

BaReN3 | Alexandria | GGA-PBE | relaxed; formation energy (no corrections) = -0.2275 eV per atom; crystal system = triclinic; VASP energy = -80.969 eV per cell; symmetry = P1 (1)
1.0
6.160 0.002 0.006
2.465 6.382 0.002
1.528 -1.930 4.417
Re Ba N
2 2 6
direct
0.149 0.357 0.329
0.964 0.377 0.911
0.742 0.001 0.526
0.407 0.659 0.753
0.273 0.367 0.929
0.533 0.277 0.242
0.174 0.113 0.464
0.675 0.334 0.065
0.920 0.608 0.703
0.272 0.901 0.386

La3HgN | Alexandria | GGA-PBE | relaxed; formation energy (no corrections) = -0.6555 eV per atom; crystal system = monoclinic; VASP energy = -106.747 eV per cell; symmetry = C2/c (15)
1.0
13.187 0.000 -2.280
5.813 4.727 -5.695
-5.813 4.727 5.695
N Hg La
4 4 12
direct
0.750 0.053 0.553
0.250 0.947 0.447
0.750 0.708 0.208
0.250 0.292 0.792
0.324 0.291 0.484
0.176 0.984 0.791
0.676 0.709 0.516
0.824 0.016 0.209
0.018 0.269 0.445
0.482 0.945 0.769
0.982 0.731 0.555
0.518 0.055 0.231
0.755 0.056 0.807
0.745 0.307 0.556
0.245 0.944 0.193
0.255 0.693 0.444
0.413 0.414 0.965
0.087 0.465 0.914
0.587 0.586 0.035
0.913 0.535 0.086

Li2Tb3Pt5 | Alexandria | GGA-PBE | relaxed; energy of formation = -1005 meV per atom; crystal system = tetragonal; VASP energy = -115.939 eV per cell; symmetry = P4/mbm (127)
1.0
3.754 0.000 0.000
0.000 9.763 0.000
0.000 0.000 9.763
Li Tb Pt
4 6 10
direct
0.000 0.120 0.620
0.000 0.880 0.380
0.000 0.380 0.120
0.000 0.620 0.880
0.000 0.325 0.825
0.000 0.675 0.175
0.000 0.175 0.325
0.000 0.825 0.675
0.000 0.000 0.000
0.000 0.500 0.500
0.500 0.217 0.070
0.500 0.783 0.930
0.500 0.930 0.217
0.500 0.070 0.783
0.500 0.283 0.570
0.500 0.717 0.430
0.500 0.570 0.717
0.500 0.430 0.283
0.500 0.000 0.500
0.500 0.500 0.000

TaTi2CuAs | Alexandria | GGA-PBE | relaxed; energy of formation = 479 meV per atom; crystal system = tetragonal; VASP energy = -33.992 eV per cell; symmetry = P4/mmm (123)
1.0
-3.762 1.173 -2.534
-1.469 -4.001 0.329
-2.281 1.161 3.924
As Ti Cu Ta
1 2 1 1
direct
0.000 0.000 0.000
0.000 0.000 0.500
0.500 0.000 0.000
0.000 0.500 0.000
0.500 0.500 0.500

TbSm3P4 | Alexandria | GGA-PBE | relaxed; energy of formation = -1581 meV per atom; crystal system = orthorhombic; VASP energy = -53.071 eV per cell; symmetry = Cmmm (65)
1.0
4.089 0.000 0.000
0.000 7.079 -0.066
0.000 -2.295 6.697
Tb Sm P
1 3 4
direct
0.500 0.000 0.000
0.000 0.000 0.500
0.500 0.500 0.500
0.000 0.500 0.000
0.000 0.247 0.247
0.500 0.752 0.248
0.000 0.753 0.753
0.500 0.248 0.752

TaSiRuN2 | Alexandria | GGA-PBE | relaxed; formation energy (no corrections) = 0.9460 eV per atom; crystal system = tetragonal; VASP energy = -38.472 eV per cell; symmetry = P4/mmm (123)
1.0
3.710 0.000 0.000
0.000 5.731 0.000
0.000 0.000 3.710
Ru Si N Ta
1 1 2 1
direct
0.000 0.000 0.000
0.500 0.500 0.500
0.000 0.000 0.500
0.500 0.000 0.000
0.000 0.500 0.000

Ag2HgBiAu | Alexandria | GGA-PBE | relaxed; energy of formation = 757 meV per atom; crystal system = tetragonal; VASP energy = -9.377 eV per cell; symmetry = P4/mmm (123)
1.0
-4.958 -1.461 -0.451
1.656 -5.020 -1.946
0.102 -1.845 4.848
Au Bi Ag Hg
1 1 2 1
direct
0.500 0.500 0.500
0.000 0.500 0.000
0.000 0.000 0.500
0.500 0.000 0.000
0.000 0.000 0.000

Y2ThNbN4 | Alexandria | GGA-PBE | relaxed; formation energy (no corrections) = -1.3987 eV per atom; crystal system = monoclinic; VASP energy = -74.909 eV per cell; symmetry = P2/m (10)
1.0
3.428 0.000 0.000
0.000 5.947 0.121
0.000 -2.063 5.591
Y Th Nb N
2 1 1 4
direct
0.500 0.000 0.500
0.000 0.500 0.500
0.500 0.500 0.000
0.000 0.000 0.000
0.500 0.231 0.235
0.500 0.769 0.765
0.000 0.236 0.753
0.000 0.764 0.247

RbGeBi3 | Alexandria | GGA-PBE | relaxed; energy of formation = 1473 meV per atom; crystal system = cubic; VASP energy = -9.860 eV per cell; distance to the lowest polymorph of the same formula = 1243 meV per atom; symmetry = Pm-3m (221)
1.0
-4.582 1.813 -3.496
-1.734 -5.744 -0.706
-3.535 0.468 4.877
Ge Bi Rb
1 3 1
direct
0.500 0.500 0.500
0.000 0.500 0.000
0.000 0.000 0.500
0.500 0.000 0.000
0.000 0.000 0.000

Mg2PW | Alexandria | GGA-PBE | relaxed; energy of formation = 265 meV per atom; crystal system = orthorhombic; VASP energy = -20.491 eV per cell; symmetry = Cmmm (65)
1.0
5.162 0.040 0.000
-2.431 4.554 0.000
0.000 0.000 2.791
Mg P W
2 1 1
direct
0.000 0.000 0.000
0.500 0.500 0.000
0.500 0.000 0.500
0.000 0.500 0.500

ZrPd8Pt2 | Alexandria | GGA-PBE | relaxed; energy of formation = 84 meV per atom; crystal system = monoclinic; VASP energy = -61.245 eV per cell; distance to the lowest polymorph of the same formula = 352 meV per atom; symmetry = C2/m (12)
1.0
-0.870 -2.912 3.589
6.259 -1.911 1.656
0.642 4.195 5.249
Zr Pd Pt
1 8 2
direct
0.000 0.000 0.000
0.785 0.167 0.667
0.215 0.333 0.833
0.877 0.277 0.277
0.123 0.723 0.723
0.785 0.667 0.167
0.215 0.833 0.333
0.292 0.424 0.424
0.708 0.576 0.576
0.448 0.150 0.150
0.552 0.850 0.850